The following is a DFT calculation (PBE) of a geometry-optimized Sm2As4Pd3 structure.

Cell lengths 5.8992, 15.1502, 7.7947 Å; angles 90.00, 90.00, 90.00 degrees
Closest atoms and distances in Å follow each position.
Space group Cmce (No. 64)
Inequivalent atoms, fractional coordinates:
Sm 0.0000 0.1167 0.0761 x8  8 As 3.12-3.20, 6 Pd 3.20-3.49
As 0.0000 0.1827 0.4588 x8  5 Pd 2.65-2.79
As 0.2500 0.0482 0.7500 x8  3 Pd 2.55-2.59
Pd 0.0000 0.0000 0.5000 x4  6 As 2.55-2.79
Pd 0.2500 0.2189 0.7500 x8  5 As 2.59-2.76

Properties
- Formation enthalpy at 0 K: -0.845 eV per atom
- DOS at the Fermi energy: 5.3 states/eV/f.u.